A relaxed CdNiOsF2 crystal. Source: Alexandria, functional PBE with a Hubbard U.

Results
**DOS(E_F)**: 4.41 states/eV/cell
**Total magnetization**: 4.1 μB/f.u.
**V**: 97.91 Å³ per cell
**Calculated total energy**: -16.5 eV/cell

Lattice parameters (Å, degrees): 4.096 4.096 5.836 90.00 90.00 90.00
Space group P4/mmm (No. 123)
Unique sites:
Cd1 0.000 0.000 0.000 [1 per cell]
Ni1 0.000 0.000 0.500 [1 per cell]
Os1 0.500 0.500 0.500 [1 per cell]
F1 0.000 0.500 0.000 [2 per cell]